(1)
First-principles (PBE) data for a geometry-optimized PmEu2H structure, as listed in the Alexandria database.

Geometry as POSCAR:
```
PmEu2H
1.0
-3.135 1.300 0.609
-1.417 -2.571 -1.810
-0.612 -5.081 7.695
Pm Eu H
1 2 1
Cartesian
-2.582 -3.176 3.247 Pm
-0.501 -4.157 6.296 Eu
-0.111 -0.923 1.399 Eu
-2.276 -0.635 -0.601 H
```

As for the total energy: -7.114 eV/atom. The crystal system is tetragonal.

(2)
First-principles (PBE) data for a geometry-optimized CaMg2Zn2Sn2 structure, as listed in the Alexandria database.

Geometry as POSCAR:
```
CaMg2Zn2Sn2
1.0
4.698 0.000 0.000
2.349 4.068 0.000
2.349 1.356 8.407
Ca Zn Sn Mg
1 2 2 2
Cartesian
0.000 0.000 0.000 Ca
4.698 2.712 2.865 Zn
4.698 2.712 5.542 Zn
2.349 1.356 1.890 Sn
7.047 4.068 6.517 Sn
7.047 4.068 3.483 Mg
2.349 1.356 4.924 Mg
```

The calculation puts the calculated formation energy at -0.242 eV/atom. The crystal system is trigonal.